(1)
Th3Cd4In2Ag2: relaxed, PBE-GGA.

Cell lengths 14.8466, 14.8466, 14.8466 Å; angles 162.96, 162.96, 24.19 degrees
With the nearest neighbours (Å) after each atom.
Fractional positions:
Th (0.0000, 0.0000, 0.0000)  8 In 3.40
Th (0.2101, 0.2101, 0.0000)  5 Ag 3.16-3.22
Th (0.7899, 0.7899, 0.0000)  5 Ag 3.16-3.22
Cd (0.1138, 0.6138, 0.5000)  2 In 2.92, 2 Ag 2.94, 4 Cd 3.11
Cd (0.3862, 0.8862, 0.5000)  2 In 2.92, 2 Ag 2.94, 4 Cd 3.11
Cd (0.6138, 0.1138, 0.5000)  2 In 2.92, 2 Ag 2.94, 4 Cd 3.11
Cd (0.8862, 0.3862, 0.5000)  2 In 2.92, 2 Ag 2.94, 4 Cd 3.11
In (0.4524, 0.4524, 0.0000)  1 In 2.76, 4 Cd 2.92
In (0.5476, 0.5476, 0.0000)  1 In 2.76, 4 Cd 2.92
Ag (0.3189, 0.3189, 0.0000)  4 Cd 2.94, 5 Th 3.16-3.22
Ag (0.6811, 0.6811, 0.0000)  4 Cd 2.94, 5 Th 3.16-3.22

## Properties
* total DFT energy (no corrections): -3.45 eV/atom
* N(E_F): 9.638 states/eV/f.u.
* energy relative to the elements: -0.08 eV per atom
* SG: I4/mmm, No. 139
* spin magnetization: 1.05 μB/cell


(2)
Au2N2F: relaxed, PBE-GGA.

Cell lengths 5.3136, 5.3136, 5.3136 Å; angles 136.55, 136.55, 63.14 degrees
With the nearest neighbours (Å) after each atom.
Fractional positions:
Au (0.1637, 0.1637, 0.0000)  4 N 2.12
Au (0.8363, 0.8363, 0.0000)  4 N 2.12
N (0.2500, 0.7500, 0.5000)  4 Au 2.12
N (0.7500, 0.2500, 0.5000)  4 Au 2.12
F (0.5000, 0.5000, 0.0000)  8 N 3.00, 10 Au 3.04-3.15

## Properties
* total DFT energy (no corrections): -3.90 eV/atom
* N(E_F): 4.244 states/eV/f.u.
* raw formation energy: 1.114 eV per atom
* SG: I4/mmm, No. 139
* spin magnetization: 0.00 μB/cell


(3)
ZrTeAs2C: relaxed, PBE-GGA.

Cell lengths 5.2507, 5.2507, 4.0491 Å; angles 90.00, 90.00, 90.00 degrees
With the nearest neighbours (Å) after each atom.
Fractional positions:
Zr (0.0000, 0.0000, 0.0000)  8 As 3.32, 4 C 3.71
Te (0.5000, 0.5000, 0.5000)  2 C 2.02
As (0.0000, 0.5000, 0.5000)  2 Te 2.63
As (0.5000, 0.0000, 0.5000)  2 Te 2.63
C (0.5000, 0.5000, 0.0000)  2 Te 2.02

## Properties
* total DFT energy (no corrections): -4.65 eV/atom
* N(E_F): 2.299 states/eV/f.u.
* raw formation energy: 1.389 eV per atom
* SG: P4/mmm, No. 123
* spin magnetization: 0.00 μB/cell


(4)
CeCrCl6: relaxed, PBE-GGA.

Cell lengths 6.9692, 6.9692, 6.9692 Å; angles 55.37, 55.37, 55.37 degrees
With the nearest neighbours (Å) after each atom.
Fractional positions:
Ce (0.0000, 0.0000, 0.0000)  6 Cl 2.74
Cr (0.5000, 0.5000, 0.5000)  6 Cl 2.39
Cl (0.1219, 0.7267, 0.4178)  1 Cr 2.39
Cl (0.2733, 0.5822, 0.8781)  1 Cr 2.39
Cl (0.4178, 0.1219, 0.7267)  1 Cr 2.39
Cl (0.5822, 0.8781, 0.2733)  1 Cr 2.39
Cl (0.7267, 0.4178, 0.1219)  1 Cr 2.39
Cl (0.8781, 0.2733, 0.5822)  1 Cr 2.39

## Properties
* total DFT energy (no corrections): -4.92 eV/atom
* N(E_F): 7.123 states/eV/f.u.
* raw formation energy: -1.590 eV per atom
* SG: R-3, No. 148
* spin magnetization: 4.00 μB/cell


(5)
MgB3O: relaxed, PBE-GGA.

Cell lengths 4.3555, 4.3555, 4.3555 Å; angles 90.00, 90.00, 90.00 degrees
With the nearest neighbours (Å) after each atom.
Fractional positions:
Mg (0.0000, 0.0000, 0.0000)  6 B 2.18
B (0.0000, 0.0000, 0.5000)  2 Mg 2.18
B (0.0000, 0.5000, 0.0000)  2 Mg 2.18
B (0.5000, 0.0000, 0.0000)  2 Mg 2.18
O (0.5000, 0.5000, 0.5000)  12 B 3.08

## Properties
* total DFT energy (no corrections): -2.59 eV/atom
* N(E_F): 2.872 states/eV/f.u.
* raw formation energy: 2.724 eV per atom
* SG: Pm-3m, No. 221
* spin magnetization: 0.00 μB/cell


(6)
CoTePd2Se: relaxed, PBE-GGA.

Cell lengths 4.7832, 4.7832, 4.5942 Å; angles 90.00, 90.00, 90.00 degrees
With the nearest neighbours (Å) after each atom.
Fractional positions:
Co (0.0000, 0.0000, 0.0000)  2 Te 2.30, 4 Pd 2.39
Te (0.0000, 0.0000, 0.5000)  2 Co 2.30
Pd (0.0000, 0.5000, 0.0000)  2 Co 2.39
Pd (0.5000, 0.0000, 0.0000)  2 Co 2.39
Se (0.5000, 0.5000, 0.5000)  8 Pd 3.32, 4 Te 3.38

## Properties
* total DFT energy (no corrections): -4.20 eV/atom
* N(E_F): 4.344 states/eV/f.u.
* raw formation energy: 0.623 eV per atom
* SG: P4/mmm, No. 123
* spin magnetization: 1.50 μB/cell


(7)
Pr3Pt: relaxed, PBE-GGA.

Cell lengths 9.2830, 9.2830, 9.2830 Å; angles 96.45, 96.45, 140.83 degrees
With the nearest neighbours (Å) after each atom.
Fractional positions:
Pr (0.0993, 0.4097, 0.4997)  2 Pt 3.19, 3 Pr 3.32-3.51
Pr (0.1062, 0.2498, 0.8562)  4 Pt 3.04-3.19
Pr (0.2406, 0.7402, 0.9104)  2 Pt 3.10, 1 Pr 3.45
Pr (0.2598, 0.1702, 0.5004)  2 Pt 3.10, 1 Pr 3.45
Pr (0.3936, 0.2500, 0.1438)  4 Pt 3.04-3.19
Pr (0.4004, 0.9007, 0.3104)  2 Pt 3.19, 3 Pr 3.32-3.51
Pr (0.5903, 0.0900, 0.6896)  2 Pt 3.19, 3 Pr 3.32-3.51
Pr (0.6698, 0.7594, 0.4996)  2 Pt 3.10, 1 Pr 3.45
Pr (0.7502, 0.6064, 0.8565)  4 Pt 3.04-3.19
Pr (0.7500, 0.8938, 0.1435)  4 Pt 3.04-3.19
Pr (0.8298, 0.3302, 0.0896)  2 Pt 3.10, 1 Pr 3.45
Pr (0.9100, 0.5996, 0.5003)  2 Pt 3.19, 3 Pr 3.32-3.51
Pt (0.2503, 0.0504, 0.8005)  8 Pr 3.04-3.19
Pt (0.2499, 0.4498, 0.1995)  8 Pr 3.04-3.19
Pt (0.5502, 0.7497, 0.8000)  8 Pr 3.04-3.19
Pt (0.9496, 0.7501, 0.2000)  8 Pr 3.04-3.19

## Properties
* total DFT energy (no corrections): -5.63 eV/atom
* N(E_F): 5.534 states/eV/f.u.
* energy relative to the elements: -0.54 eV per atom
* SG: I-4, No. 82
* spin magnetization: 0.00 μB/cell


(8)
Sc2Ag2I: relaxed, PBE-GGA.

Cell lengths 7.7785, 7.7785, 3.8828 Å; angles 90.00, 90.00, 90.00 degrees
With the nearest neighbours (Å) after each atom.
Fractional positions:
Sc (0.1596, 0.3404, 0.0000)  2 I 2.92, 6 Ag 2.98-3.03
Sc (0.3404, 0.8404, 0.0000)  2 I 2.92, 6 Ag 2.98-3.03
Sc (0.6596, 0.1596, 0.0000)  2 I 2.92, 6 Ag 2.98-3.03
Sc (0.8404, 0.6596, 0.0000)  2 I 2.92, 6 Ag 2.98-3.03
Ag (0.1293, 0.6293, 0.5000)  1 Ag 2.84, 6 Sc 2.98-3.03
Ag (0.3707, 0.1293, 0.5000)  1 Ag 2.84, 6 Sc 2.98-3.03
Ag (0.6293, 0.8707, 0.5000)  1 Ag 2.84, 6 Sc 2.98-3.03
Ag (0.8707, 0.3707, 0.5000)  1 Ag 2.84, 6 Sc 2.98-3.03
I (0.0000, 0.0000, 0.0000)  4 Sc 2.92
I (0.5000, 0.5000, 0.0000)  4 Sc 2.92

## Properties
* total DFT energy (no corrections): -4.19 eV/atom
* N(E_F): 4.481 states/eV/f.u.
* raw formation energy: -0.203 eV per atom
* SG: P4/mbm, No. 127
* spin magnetization: 0.00 μB/cell


(9)
MgPbO2F: relaxed, PBE-GGA.

Cell lengths 4.3429, 4.3429, 4.4490 Å; angles 90.00, 90.00, 90.00 degrees
With the nearest neighbours (Å) after each atom.
Fractional positions:
Mg (0.0000, 0.0000, 0.0000)  4 F 3.07, 8 O 3.11
Pb (0.5000, 0.5000, 0.5000)  4 O 2.17, 2 F 2.22
O (0.0000, 0.5000, 0.5000)  2 Pb 2.17
O (0.5000, 0.0000, 0.5000)  2 Pb 2.17
F (0.5000, 0.5000, 0.0000)  2 Pb 2.22

## Properties
* total DFT energy (no corrections): -4.46 eV/atom
* N(E_F): 1.096 states/eV/f.u.
* raw formation energy: -1.042 eV per atom
* SG: P4/mmm, No. 123
* spin magnetization: 0.00 μB/cell


(10)
Be2Ni2Mo: relaxed, PBE-GGA.

Cell lengths 6.5833, 6.5833, 2.4832 Å; angles 90.00, 90.00, 90.00 degrees
With the nearest neighbours (Å) after each atom.
Fractional positions:
Be (0.1677, 0.3323, 0.0000)  6 Ni 2.27-2.33, 2 Be 2.48
Be (0.3323, 0.8323, 0.0000)  6 Ni 2.27-2.33, 2 Be 2.48
Be (0.6677, 0.1677, 0.0000)  6 Ni 2.27-2.33, 2 Be 2.48
Be (0.8323, 0.6677, 0.0000)  6 Ni 2.27-2.33, 2 Be 2.48
Ni (0.1283, 0.6283, 0.5000)  6 Be 2.27-2.33, 3 Ni 2.39-2.48
Ni (0.3717, 0.1283, 0.5000)  6 Be 2.27-2.33, 3 Ni 2.39-2.48
Ni (0.6283, 0.8717, 0.5000)  6 Be 2.27-2.33, 3 Ni 2.39-2.48
Ni (0.8717, 0.3717, 0.5000)  6 Be 2.27-2.33, 3 Ni 2.39-2.48
Mo (0.0000, 0.0000, 0.5000)  2 Mo 2.48, 4 Ni 2.59, 8 Be 2.75
Mo (0.5000, 0.5000, 0.5000)  2 Mo 2.48, 4 Ni 2.59, 8 Be 2.75

## Properties
* total DFT energy (no corrections): -6.08 eV/atom
* N(E_F): 3.351 states/eV/f.u.
* energy relative to the elements: -0.11 eV per atom
* SG: P4/mbm, No. 127
* spin magnetization: 0.02 μB/cell


(11)
TbCe2CoAu: relaxed, PBE-GGA.

Cell lengths 4.8903, 4.8903, 5.5149 Å; angles 90.00, 90.00, 90.00 degrees
With the nearest neighbours (Å) after each atom.
Fractional positions:
Tb (0.0000, 0.0000, 0.0000)  2 Co 2.75-2.77
Ce (0.0000, 0.5000, 0.4876)  2 Co 2.45
Ce (0.5000, 0.0000, 0.4876)  2 Co 2.45
Co (0.0000, 0.0000, 0.5015)  4 Ce 2.45
Au (0.5000, 0.5000, 0.0765)  4 Ce 3.33, 4 Tb 3.48

## Properties
* total DFT energy (no corrections): -5.59 eV/atom
* N(E_F): 10.092 states/eV/f.u.
* energy relative to the elements: -0.21 eV per atom
* SG: P4mm, No. 99
* spin magnetization: 0.79 μB/cell


(12)
RbAgW2Au: relaxed, PBE-GGA.

Cell lengths 4.7657, 4.7657, 5.1263 Å; angles 90.00, 90.00, 90.00 degrees
With the nearest neighbours (Å) after each atom.
Fractional positions:
Rb (0.0000, 0.0000, 0.0000)  4 W 2.38, 2 Ag 2.56
Ag (0.0000, 0.0000, 0.5000)  2 Rb 2.56
W (0.0000, 0.5000, 0.0000)  2 Rb 2.38
W (0.5000, 0.0000, 0.0000)  2 Rb 2.38
Au (0.5000, 0.5000, 0.5000)  4 Ag 3.37, 8 W 3.50

## Properties
* total DFT energy (no corrections): -3.11 eV/atom
* N(E_F): 5.294 states/eV/f.u.
* energy relative to the elements: 3.49 eV per atom
* SG: P4/mmm, No. 123
* spin magnetization: 1.02 μB/cell


(13)
Sc3C: relaxed, PBE-GGA.

Cell lengths 3.1615, 3.1615, 8.3277 Å; angles 90.00, 90.00, 112.86 degrees
With the nearest neighbours (Å) after each atom.
Fractional positions:
Sc (0.0000, 0.0000, 0.0000)  10 Sc 3.16-3.50
Sc (0.5000, 0.5000, 0.3305)  2 C 2.25
Sc (0.5000, 0.5000, 0.6695)  2 C 2.25
C (0.0000, 0.0000, 0.5000)  4 Sc 2.25

## Properties
* total DFT energy (no corrections): -7.04 eV/atom
* N(E_F): 3.350 states/eV/f.u.
* energy relative to the elements: 0.01 eV per atom
* SG: Cmmm, No. 65
* spin magnetization: 0.00 μB/cell


(14)
HfMgRh3: relaxed, PBE-GGA.

Cell lengths 4.4332, 4.4332, 4.4332 Å; angles 90.00, 90.00, 90.00 degrees
With the nearest neighbours (Å) after each atom.
Fractional positions:
Hf (0.0000, 0.0000, 0.0000)  12 Rh 3.13
Mg (0.5000, 0.5000, 0.5000)  6 Rh 2.22
Rh (0.0000, 0.5000, 0.5000)  2 Mg 2.22
Rh (0.5000, 0.0000, 0.5000)  2 Mg 2.22
Rh (0.5000, 0.5000, 0.0000)  2 Mg 2.22

## Properties
* total DFT energy (no corrections): -6.38 eV/atom
* N(E_F): 5.847 states/eV/f.u.
* energy relative to the elements: 0.34 eV per atom
* SG: Pm-3m, No. 221
* spin magnetization: 0.00 μB/cell


(15)
CdGa2HPd: relaxed, PBE-GGA.

Cell lengths 5.0907, 5.0907, 3.4313 Å; angles 90.00, 90.00, 90.00 degrees
With the nearest neighbours (Å) after each atom.
Fractional positions:
Cd (0.0000, 0.0000, 0.0000)  8 Ga 3.07, 2 Cd 3.43
Ga (0.0000, 0.5000, 0.5000)  2 Pd 2.55
Ga (0.5000, 0.0000, 0.5000)  2 Pd 2.55
H (0.5000, 0.5000, 0.0000)  2 Pd 1.72
Pd (0.5000, 0.5000, 0.5000)  2 H 1.72

## Properties
* total DFT energy (no corrections): -3.08 eV/atom
* N(E_F): 2.190 states/eV/f.u.
* SG: P4/mmm, No. 123
* spin magnetization: 0.00 μB/cell


(16)
Nd2HoCd: relaxed, PBE-GGA.

Cell lengths 5.5566, 5.5566, 5.5566 Å; angles 60.00, 60.00, 60.00 degrees
With the nearest neighbours (Å) after each atom.
Fractional positions:
Nd (0.2500, 0.2500, 0.2500)  4 Cd 3.40, 4 Ho 3.40
Nd (0.7500, 0.7500, 0.7500)  4 Cd 3.40, 4 Ho 3.40
Ho (0.0000, 0.0000, 0.0000)  8 Nd 3.40
Cd (0.5000, 0.5000, 0.5000)  8 Nd 3.40

## Properties
* total DFT energy (no corrections): -3.80 eV/atom
* N(E_F): 5.570 states/eV/f.u.
* energy relative to the elements: -0.05 eV per atom
* SG: Fm-3m, No. 225
* spin magnetization: 0.00 μB/cell


(17)
MgCr: relaxed, PBE-GGA.

Cell lengths 2.5874, 2.5874, 4.4584 Å; angles 90.00, 90.00, 90.00 degrees
With the nearest neighbours (Å) after each atom.
Fractional positions:
Mg (0.0000, 0.0000, 0.0000)  4 Mg 2.59, 8 Cr 2.88
Cr (0.5000, 0.5000, 0.5000)  4 Cr 2.59, 8 Mg 2.88

## Properties
* total DFT energy (no corrections): -4.99 eV/atom
* N(E_F): 1.555 states/eV/f.u.
* energy relative to the elements: 0.62 eV per atom
* SG: P4/mmm, No. 123
* spin magnetization: 0.00 μB/cell


(18)
Zr2MnHW: relaxed, PBE-GGA.

Cell lengths 4.6454, 4.6454, 3.4011 Å; angles 90.00, 90.00, 90.00 degrees
With the nearest neighbours (Å) after each atom.
Fractional positions:
Zr (0.0000, 0.5000, 0.0000)  2 H 2.32
Zr (0.5000, 0.0000, 0.0000)  2 H 2.32
Mn (0.0000, 0.0000, 0.5000)  2 H 1.70
H (0.0000, 0.0000, 0.0000)  2 Mn 1.70
W (0.5000, 0.5000, 0.5000)  8 Zr 2.88

## Properties
* total DFT energy (no corrections): -8.52 eV/atom
* N(E_F): 5.855 states/eV/f.u.
* SG: P4/mmm, No. 123
* spin magnetization: 1.17 μB/cell


(19)
ZnMoSe2: relaxed, PBE-GGA.

Cell lengths 2.6607, 3.3403, 9.4714 Å; angles 90.00, 90.14, 90.00 degrees
With the nearest neighbours (Å) after each atom.
Fractional positions:
Zn (0.0000, 0.0000, 0.0000)  2 Zn 2.66
Mo (0.0000, 0.0000, 0.5000)  4 Se 2.58, 2 Mo 2.66
Se (0.0007, 0.5000, 0.7075)  2 Mo 2.58, 2 Se 2.66
Se (0.9993, 0.5000, 0.2925)  2 Mo 2.58, 2 Se 2.66

## Properties
* total DFT energy (no corrections): -4.65 eV/atom
* N(E_F): 2.212 states/eV/f.u.
* raw formation energy: 0.118 eV per atom
* SG: P2/m, No. 10
* spin magnetization: 0.00 μB/cell


(20)
Rb2BaCrSi: relaxed, PBE-GGA.

Cell lengths 7.7503, 7.7503, 5.9422 Å; angles 90.00, 90.00, 90.00 degrees
With the nearest neighbours (Å) after each atom.
Fractional positions:
Rb (0.0000, 0.5000, 0.0000)  2 Ba 3.88
Rb (0.5000, 0.0000, 0.0000)  2 Ba 3.88
Ba (0.0000, 0.0000, 0.0000)  2 Cr 2.97
Cr (0.0000, 0.0000, 0.5000)  2 Ba 2.97
Si (0.5000, 0.5000, 0.5000)  8 Rb 4.88

## Properties
* total DFT energy (no corrections): -2.28 eV/atom
* N(E_F): 4.775 states/eV/f.u.
* raw formation energy: 1.498 eV per atom
* SG: P4/mmm, No. 123
* spin magnetization: 4.21 μB/cell